Compound: PrSmErTh2
Source: the Alexandria database
Functional: PBE
Structure: optimized geometry

## Properties
Energy (eV/atom): -5.391
Calculated density (g/cm³): 8.65
Space-group type: Cmcm, No. 63

abc: 6.7161 6.7023 8.5571
angles: 113.06 90.00 90.00
Last column: nearest neighbours and their distance in Å.
Positions (direct):
Pr 0.2500 0.8477 0.6955  1 Er 3.10, 4 Th 3.39
Pr 0.7500 0.1523 0.3045  1 Er 3.10, 4 Th 3.39
Sm 0.7500 0.7381 0.4761  4 Pr 3.61-3.78, 4 Er 3.63-3.78
Sm 0.2500 0.2619 0.5239  4 Pr 3.61-3.78, 4 Er 3.63-3.78
Er 0.2500 0.6508 0.3016  1 Pr 3.10, 4 Th 3.34
Er 0.7500 0.3492 0.6984  1 Pr 3.10, 4 Th 3.34
Th 0.5000 0.2538 0.0000  4 Th 3.30-3.40, 2 Er 3.34, 2 Pr 3.39
Th 0.0000 0.7462 0.0000  4 Th 3.30-3.40, 2 Er 3.34, 2 Pr 3.39
Th 0.5000 0.7462 0.0000  4 Th 3.30-3.40, 2 Er 3.34, 2 Pr 3.39
Th 0.0000 0.2538 0.0000  4 Th 3.30-3.40, 2 Er 3.34, 2 Pr 3.39